Density functional theory data (PBE) for an optimized crystal structure of TcAsSe2. Values from VASP.

energy above the lowest structure with this stoichiometry	131.8	meV per atom
total magnetization	0.0	μB per cell
space-group type	R-3m, No. 166
DOS at the Fermi energy	2.1	states/eV/f.u.
energy relative to the elements, uncorrected	0.07	eV/atom

```
&SYSTEM
  ibrav = 0, nat = 4, ntyp = 3
/
ATOMIC_SPECIES
As 74.92 As.upf
Tc 98.00 Tc.upf
Se 78.96 Se.upf
ATOMIC_POSITIONS angstrom
As 18.964 3.386 1.996
Tc 6.321 1.129 0.665
Se 24.913 4.448 2.623
Se 13.015 2.324 1.370
CELL_PARAMETERS angstrom
8.801 -0.043 -0.025
8.242 3.086 -0.025
8.242 1.472 2.712
```